[1]
Compound: MgRe2As
Source: Alexandria
Functional: meta-GGA SCAN
Structure: PBEsol geometry

Cell: 2.9606 4.4952 5.3935 Å, 114.63 105.93 90.00°
Atoms (fractional coordinates):
1 As 0.0000 0.5000 0.0000
2 Re 0.2863 0.2863 0.5725
3 Re 0.7137 0.7137 0.4275
4 Mg 0.5000 0.0000 0.0000

Summary:
Crystal system: orthorhombic
Energy of formation from the pure elements, meV per atom: 302
SG: Immm

***

[2]
Compound: MgScRe2As
Source: Alexandria
Functional: meta-GGA SCAN
Structure: PBEsol geometry

Cell: 4.5304 4.5304 4.7280 Å, 90.00 90.00 90.00°
Atoms (fractional coordinates):
1 Re 0.0000 0.5000 0.0000
2 Re 0.5000 0.0000 0.0000
3 As 0.5000 0.5000 0.5000
4 Sc 0.0000 0.0000 0.5000
5 Mg 0.0000 0.0000 0.0000

Summary:
Crystal system: tetragonal
Energy of formation from the pure elements, meV per atom: 1912
SG: P4/mmm